Record 1
BePt2Rh (PBE-GGA, optimized geometry); final energy = -6.164 eV/atom
1.0
2.762 0.000 0.000
0.000 2.762 0.000
0.000 0.000 6.953
Be Pt Rh
1 2 1
Direct
0.000 0.000 0.000
0.000 0.000 0.512
0.500 0.500 0.207
0.500 0.500 0.802

=====

Record 2
KSb2F11 (PBE-GGA, optimized geometry); uncorrected formation energy = -2430 meV/atom
1.0
-4.764 4.822 5.566
4.764 -4.822 5.566
4.764 4.822 -5.566
K Sb F
2 4 22
Direct
0.250 0.250 0.000
0.750 0.750 0.000
0.156 0.649 0.806
0.344 0.149 0.493
0.656 0.851 0.507
0.844 0.351 0.194
0.000 0.500 0.500
0.067 0.376 0.200
0.123 0.419 0.785
0.134 0.919 0.296
0.176 0.867 0.800
0.200 0.283 0.483
0.300 0.783 0.084
0.324 0.124 0.691
0.366 0.662 0.785
0.377 0.162 0.296
0.433 0.633 0.309
0.500 0.000 0.500
0.567 0.367 0.691
0.623 0.838 0.704
0.634 0.338 0.215
0.676 0.876 0.309
0.700 0.217 0.916
0.800 0.717 0.517
0.824 0.133 0.200
0.866 0.081 0.704
0.877 0.581 0.215
0.933 0.624 0.800

=====

Record 3
ErTlHgBi (PBE-GGA, optimized geometry); final energy = -2.990 eV/atom
1.0
0.000 3.854 3.854
3.854 0.000 3.854
3.854 3.854 0.000
Er Tl Hg Bi
1 1 1 1
Direct
0.000 0.000 0.000
0.500 0.500 0.500
0.250 0.250 0.250
0.750 0.750 0.750

=====

no.,D(E_F) (states/eV per cell)
1,5.2
2,0.0
3,1.9